Below is FeCoP2 at its PBEsol-relaxed geometry, with properties calculated at the meta-GGA SCAN level.

Cell and atoms, written as POSCAR:
```
FeCoP2
1.0
3.0678 0.0000 0.0000
0.0000 3.0678 0.0000
0.0000 0.0000 4.5726
P Fe Co
2 1 1
Direct
0.0000 0.0000 0.9559 P
0.5000 0.5000 0.3005 P
0.5000 0.5000 0.7991 Fe
0.0000 0.0000 0.4446 Co
```

Output
Space-group type ... P4mm
Formation energy from the elements ... -0.313 eV/atom
Total moment ... 0.93 μB per formula unit